Entry 1:
Below is NbHO2 after structural relaxation, with properties calculated at the PBE level.

abc: 6.2096 6.2096 6.2096
angles: 120.07 120.07 89.88
With the nearest neighbours (Å) after each atom.
Atoms (fractional coordinates):
Nb 0.3750 0.6250 0.7500  4 O 1.90
Nb 0.6250 0.3750 0.2500  4 O 1.90
H 0.1250 0.8750 0.2500  12 O 3.64, 4 H 3.80, 4 Nb 3.80
H 0.8750 0.1250 0.7500  12 O 3.64, 4 Nb 3.80, 4 H 3.80
O 0.0000 0.5000 0.5000  2 Nb 1.90
O 0.5000 0.0000 0.0000  2 Nb 1.90
O 0.5000 0.5000 0.0000  2 Nb 1.90
O 0.5000 0.5000 0.5000  2 Nb 1.90

Summary:
Space-group type = I4_1/amd (141)
VASP energy = -6.985 eV per atom

---

Entry 2:
Below is Tl5Zn after structural relaxation, with properties calculated at the PBE level.

abc: 6.4581 6.4581 6.4581
angles: 60.00 60.00 60.00
With the nearest neighbours (Å) after each atom.
Atoms (fractional coordinates):
Tl 0.0000 0.0000 0.0000  12 Tl 3.79, 4 Zn 3.95
Tl 0.1249 0.6250 0.6250  6 Tl 3.23
Tl 0.6250 0.1249 0.6250  6 Tl 3.23
Tl 0.6250 0.6250 0.1249  6 Tl 3.23
Tl 0.6250 0.6250 0.6250  6 Tl 3.23
Zn 0.2500 0.2500 0.2500  16 Tl 3.79-3.95

Summary:
Formation energy = 1.315 eV/f.u.
Space-group type = F-43m (216)
VASP energy = -1.965 eV per atom

---

Entry 3:
Below is Ta2AgRu after structural relaxation, with properties calculated at the PBE level.

abc: 5.4762 5.4762 5.4762
angles: 146.82 129.69 61.60
With the nearest neighbours (Å) after each atom.
Atoms (fractional coordinates):
Ta 0.0000 0.0000 0.0000  2 Ru 2.63, 4 Ag 2.81, 2 Ta 2.86
Ta 0.7454 0.2454 0.5000  4 Ru 2.81, 4 Ta 2.86-3.13, 2 Ag 2.95
Ag 0.4794 0.4794 0.0000  6 Ta 2.81-2.95, 2 Ru 2.86, 2 Ag 3.13
Ru 0.2245 0.7245 0.5000  6 Ta 2.63-2.81, 2 Ag 2.86

Summary:
Formation energy = 0.672 eV/f.u.
Space-group type = Imm2 (44)
VASP energy = -8.790 eV per atom

---

Entry 4:
Below is ScZnTc after structural relaxation, with properties calculated at the PBE level.

abc: 5.2342 5.2342 5.3012
angles: 94.40 94.40 48.03
With the nearest neighbours (Å) after each atom.
Atoms (fractional coordinates):
Sc 0.0000 0.0000 0.0000  4 Tc 2.70-2.98, 2 Zn 2.86-3.00
Sc 0.5735 0.5735 0.4741  5 Zn 2.83-3.08, 3 Tc 2.91-3.06
Zn 0.2752 0.2752 0.7162  2 Zn 2.63, 4 Tc 2.64-2.73
Zn 0.8697 0.8697 0.4944  2 Zn 2.63, 3 Tc 2.69-2.83, 4 Sc 2.83-2.90
Tc 0.2756 0.2756 0.2188  2 Tc 2.44, 4 Zn 2.64-2.69
Tc 0.7180 0.7180 0.0123  2 Tc 2.44, 1 Sc 2.70, 2 Zn 2.73

Summary:
Formation energy = -0.568 eV/f.u.
Space-group type = Cm (8)
VASP energy = -6.180 eV per atom

---

Entry 5:
Below is DyTh2Pa after structural relaxation, with properties calculated at the PBE level.

abc: 11.5829 11.5829 11.5829
angles: 17.37 17.37 17.37
With the nearest neighbours (Å) after each atom.
Atoms (fractional coordinates):
Dy 0.0000 0.0000 0.0000  6 Dy 3.50, 6 Th 3.52-3.61
Th 0.5824 0.5824 0.5824  3 Pa 3.41, 6 Th 3.50, 3 Dy 3.52
Th 0.7543 0.7543 0.7543  3 Pa 3.43, 6 Th 3.50, 3 Dy 3.61
Pa 0.1687 0.1687 0.1687  6 Th 3.41-3.43, 6 Pa 3.50

Summary:
Formation energy = 0.405 eV/f.u.
Space-group type = R3m (160)
VASP energy = -7.133 eV per atom

---

Entry 6:
Below is Pm4Al2P after structural relaxation, with properties calculated at the PBE level.

abc: 6.4431 6.4431 8.8112
angles: 120.45 120.45 39.65
With the nearest neighbours (Å) after each atom.
Atoms (fractional coordinates):
Pm 0.0872 0.0872 0.3664  1 P 2.80
Pm 0.3250 0.3250 0.9171  2 P 2.85, 2 Al 3.18
Pm 0.6750 0.6750 0.0829  2 P 2.85, 2 Al 3.18
Pm 0.9128 0.9128 0.6336  1 P 2.80
Al 0.3805 0.3805 0.3461  1 Al 2.70
Al 0.6195 0.6195 0.6539  1 Al 2.70
P 0.0000 0.0000 0.0000  6 Pm 2.80-2.85

Summary:
Formation energy = -4.180 eV/f.u.
Space-group type = C2/m (12)
VASP energy = -5.154 eV per atom

---

Entry 7:
Below is Dy2Pa2Te2S5 after structural relaxation, with properties calculated at the PBE level.

abc: 13.0226 13.0226 13.0226
angles: 156.71 156.71 33.17
With the nearest neighbours (Å) after each atom.
Atoms (fractional coordinates):
Dy 0.1574 0.1574 0.0000  4 S 2.84, 1 Te 3.00
Dy 0.8426 0.8426 0.0000  4 S 2.84, 1 Te 3.00
Pa 0.3958 0.3958 0.0000  5 S 2.60-2.64
Pa 0.6042 0.6042 0.0000  5 S 2.60-2.64
Te 0.2775 0.2775 0.0000  1 Pa 2.95, 1 Dy 3.00
Te 0.7225 0.7225 0.0000  1 Pa 2.95, 1 Dy 3.00
S 0.1139 0.6139 0.5000  2 Pa 2.64, 2 Dy 2.84
S 0.3861 0.8861 0.5000  2 Pa 2.64, 2 Dy 2.84
S 0.5000 0.5000 0.0000  2 Pa 2.60
S 0.6139 0.1139 0.5000  2 Pa 2.64, 2 Dy 2.84
S 0.8861 0.3861 0.5000  2 Pa 2.64, 2 Dy 2.84

Summary:
Space-group type = I4/mmm (139)
Formation energy without anion corrections = -1.4374 eV per atom
VASP energy = -6.448 eV per atom

---

Entry 8:
Below is ZnGaAu2 after structural relaxation, with properties calculated at the PBE level.

abc: 4.3913 4.3913 3.5285
angles: 90.00 90.00 90.00
With the nearest neighbours (Å) after each atom.
Atoms (fractional coordinates):
Zn 0.0000 0.0000 0.0000  8 Au 2.82, 4 Ga 3.11
Ga 0.5000 0.5000 0.0000  8 Au 2.82, 4 Zn 3.11
Au 0.0000 0.5000 0.5000  4 Ga 2.82, 4 Zn 2.82, 4 Au 3.11
Au 0.5000 0.0000 0.5000  4 Ga 2.82, 4 Zn 2.82, 4 Au 3.11

Summary:
Formation energy = -0.487 eV/f.u.
Space-group type = P4/mmm (123)
VASP energy = -2.836 eV per atom

---

Entry 9:
Below is TaTeBr after structural relaxation, with properties calculated at the PBE level.

abc: 7.4714 7.4714 7.4714
angles: 154.23 154.23 36.76
With the nearest neighbours (Å) after each atom.
Atoms (fractional coordinates):
Ta 0.0000 0.0000 0.0000  4 Te 2.87, 4 Br 2.90
Te 0.3845 0.3845 0.0000  4 Ta 2.87
Br 0.6193 0.6193 0.0000  4 Ta 2.90

Summary:
Space-group type = I4mm (107)
Formation energy without anion corrections = -0.2072 eV per atom
VASP energy = -5.763 eV per atom

---

Entry 10:
Below is MgSi after structural relaxation, with properties calculated at the PBE level.

abc: 5.8338 6.1784 13.3244
angles: 99.27 90.82 101.72
With the nearest neighbours (Å) after each atom.
Atoms (fractional coordinates):
Mg 0.0000 0.0000 0.0000  3 Si 2.75-2.85
Mg 0.0169 0.5218 0.1697  5 Si 2.76-3.06
Mg 0.1328 0.9486 0.6934  5 Si 2.73-2.86, 1 Mg 3.06
Mg 0.1688 0.4558 0.6628  5 Si 2.73-2.85
Mg 0.3124 0.3690 0.3661  4 Si 2.67-2.92
Mg 0.3331 0.8776 0.3416  6 Si 2.71-2.98, 2 Mg 2.92-3.03
Mg 0.5039 0.4360 0.0146  4 Si 2.65-2.91
Mg 0.5229 0.0018 0.1525  3 Si 2.61-2.85, 1 Mg 2.92
Mg 0.6741 0.6435 0.8305  6 Si 2.69-2.97
Mg 0.7104 0.1570 0.8026  5 Si 2.67-2.97
Mg 0.8442 0.0750 0.5037  5 Si 2.72-2.90
Mg 0.8834 0.5818 0.4747  5 Si 2.73-2.88
Si 0.0667 0.0582 0.2084  2 Si 2.42-2.46
Si 0.1912 0.7130 0.8565  3 Si 2.39-2.54
Si 0.2233 0.3071 0.8480  2 Si 2.42-2.54, 1 Mg 2.65
Si 0.3423 0.1509 0.5308  2 Si 2.43-2.44
Si 0.3502 0.7572 0.5279  2 Si 2.36-2.44
Si 0.5044 0.5646 0.2139  1 Si 2.40, 2 Mg 2.65-2.67
Si 0.5143 0.9633 0.9541  1 Si 2.39, 2 Mg 2.61-2.67
Si 0.6682 0.7700 0.6422  2 Si 2.36-2.43
Si 0.6731 0.3763 0.6387  2 Si 2.43
Si 0.7920 0.2301 0.3165  2 Si 2.46-2.56, 2 Mg 2.69-2.73
Si 0.8241 0.8219 0.3108  3 Si 2.40-2.56
Si 0.9604 0.4734 0.9609  2 Si 2.42

Summary:
Space-group type = P1 (1)
Formation energy without anion corrections = 0.0239 eV per atom
VASP energy = -3.485 eV per atom

---

Entry 11:
Below is PrHo2SbN4 after structural relaxation, with properties calculated at the PBE level.

abc: 6.9127 6.9127 11.6254
angles: 90.00 90.00 152.00
With the nearest neighbours (Å) after each atom.
Atoms (fractional coordinates):
Pr 0.2364 0.7636 0.7500  6 N 2.47-2.62
Pr 0.7636 0.2364 0.2500  6 N 2.47-2.62
Ho 0.3689 0.6311 0.0029  5 N 2.35-2.43
Ho 0.3689 0.6311 0.4971  5 N 2.35-2.43
Ho 0.6311 0.3689 0.5029  5 N 2.35-2.43
Ho 0.6311 0.3689 0.9971  5 N 2.35-2.43
Sb 0.0153 0.9847 0.2500  2 N 2.16
Sb 0.9847 0.0153 0.7500  2 N 2.16
N 0.0000 0.0000 0.0000  4 Ho 2.43
N 0.0000 0.0000 0.5000  4 Ho 2.43
N 0.2123 0.7877 0.1046  3 Ho 2.35-2.41, 2 Pr 2.47
N 0.2123 0.7877 0.3954  3 Ho 2.35-2.41, 2 Pr 2.47
N 0.4135 0.5865 0.2500  2 Sb 2.16
N 0.5865 0.4135 0.7500  2 Sb 2.16
N 0.7877 0.2123 0.6046  3 Ho 2.35-2.41, 2 Pr 2.47
N 0.7877 0.2123 0.8954  3 Ho 2.35-2.41, 2 Pr 2.47

Summary:
Space-group type = Cmcm (63)
Formation energy without anion corrections = -0.7972 eV per atom
VASP energy = -7.217 eV per atom

---

Entry 12:
Below is Zr3Co2Au after structural relaxation, with properties calculated at the PBE level.

abc: 3.1579 3.1579 10.5873
angles: 90.00 90.00 90.00
With the nearest neighbours (Å) after each atom.
Atoms (fractional coordinates):
Zr 0.0000 0.0000 0.0000  8 Co 2.74
Zr 0.0000 0.0000 0.3069  4 Co 2.78, 4 Au 3.03
Zr 0.0000 0.0000 0.6931  4 Co 2.78, 4 Au 3.03
Co 0.5000 0.5000 0.1505  8 Zr 2.74-2.78
Co 0.5000 0.5000 0.8495  8 Zr 2.74-2.78
Au 0.5000 0.5000 0.5000  8 Zr 3.03, 4 Au 3.16

Summary:
Formation energy = -2.036 eV/f.u.
Space-group type = P4/mmm (123)
VASP energy = -7.528 eV per atom

---

Which of these has the lowest VASP energy? Ta2AgRu

---

Copy entry 3 word for word.
Below is Ta2AgRu after structural relaxation, with properties calculated at the PBE level.

abc: 5.4762 5.4762 5.4762
angles: 146.82 129.69 61.60
With the nearest neighbours (Å) after each atom.
Atoms (fractional coordinates):
Ta 0.0000 0.0000 0.0000  2 Ru 2.63, 4 Ag 2.81, 2 Ta 2.86
Ta 0.7454 0.2454 0.5000  4 Ru 2.81, 4 Ta 2.86-3.13, 2 Ag 2.95
Ag 0.4794 0.4794 0.0000  6 Ta 2.81-2.95, 2 Ru 2.86, 2 Ag 3.13
Ru 0.2245 0.7245 0.5000  6 Ta 2.63-2.81, 2 Ag 2.86

Summary:
Formation energy = 0.672 eV/f.u.
Space-group type = Imm2 (44)
VASP energy = -8.790 eV per atom

---

Which value of VASP energy does entry 9 give? -5.763 eV per atom